1.
Crystalline Zr3Zn at its relaxed geometry, computed with PBE-GGA.

Calculated values
The value obtained for the energy of formation is -0.3 eV per formula unit. The density comes out at 6667 kg/m³. The calculation puts the density of states at the Fermi level at 3.6 states/eV/f.u. The calculation puts the final energy at -27.3 eV/f.u. The calculation puts the total magnetization at 0.00 μB per cell.

Cell lengths 5.315, 5.887, 3.173 Å; angles 74.37, 90.00, 116.83 degrees
Fractional coordinates of all 4 atoms:
Zn  0.003  0.000  0.000
Zr  0.084  0.463  0.268
Zr  0.621  0.537  0.732
Zr  0.459  0.000  0.500

***

2.
Crystalline Co4GeB at its relaxed geometry, computed with PBE-GGA.

Calculated values
The excess energy over the best structure of this formula in the dataset is 193 meV per atom. The value obtained for the energy of formation is 0.3 eV per formula unit. The density comes out at 7716 kg/m³. The calculation puts the density of states at the Fermi level at 8.9 states/eV/f.u. The calculation puts the final energy at -39.5 eV/f.u. The calculation puts the total magnetization at 2.99 μB per cell.

Cell lengths 3.540, 3.540, 5.481 Å; angles 89.99, 89.99, 90.00 degrees
Fractional coordinates of all 6 atoms:
B  0.001  0.997  0.498
Co  0.001  0.497  0.710
Ge  0.501  0.497  0.998
Co  0.501  0.997  0.710
Co  0.501  0.997  0.286
Co  0.001  0.497  0.286

***

3.
Crystalline K2NaHf at its relaxed geometry, computed with PBE-GGA.

Calculated values
The excess energy over the best structure of this formula in the dataset is 0 meV per atom. The value obtained for the energy of formation is 4.5 eV per formula unit. The density comes out at 2652 kg/m³. The calculation puts the density of states at the Fermi level at 7.0 states/eV/f.u. The calculation puts the final energy at -9.0 eV/f.u. The calculation puts the total magnetization at 2.87 μB per cell.

Cell lengths 6.280, 6.280, 6.280 Å; angles 60.00, 60.00, 60.00 degrees
Fractional coordinates of all 4 atoms:
Hf  0.500  0.500  0.500
K  0.250  0.250  0.250
Na  0.000  0.000  0.000
K  0.750  0.750  0.750

***

4.
Crystalline BaMg4Au at its relaxed geometry, computed with PBE-GGA.

Calculated values
The excess energy over the best structure of this formula in the dataset is 0 meV per atom. The value obtained for the energy of formation is -1.9 eV per formula unit. The density comes out at 4357 kg/m³. The calculation puts the density of states at the Fermi level at 4.0 states/eV/f.u. The calculation puts the final energy at -13.5 eV/f.u. The calculation puts the total magnetization at 0.00 μB per cell.

Cell lengths 4.500, 8.120, 9.002 Å; angles 90.00, 90.00, 90.00 degrees
Fractional coordinates of all 12 atoms:
Ba  0.000  0.595  0.750
Mg  0.500  0.724  0.065
Mg  0.000  0.000  0.500
Au  0.000  0.184  0.750
Mg  0.500  0.952  0.750
Mg  0.500  0.048  0.250
Ba  0.000  0.405  0.250
Mg  0.500  0.276  0.935
Mg  0.000  0.000  0.000
Mg  0.500  0.724  0.435
Mg  0.500  0.276  0.565
Au  0.000  0.816  0.250

***

5.
Crystalline La3Pm4Nd at its relaxed geometry, computed with PBE-GGA.

Calculated values
The excess energy over the best structure of this formula in the dataset is 0 meV per atom. The value obtained for the energy of formation is 0.0 eV per formula unit. The density comes out at 6671 kg/m³. The calculation puts the density of states at the Fermi level at 10.3 states/eV/f.u. The calculation puts the final energy at -38.5 eV/f.u. The calculation puts the total magnetization at 0.00 μB per cell.

Cell lengths 7.415, 6.415, 11.941 Å; angles 90.00, 90.00, 90.00 degrees
Fractional coordinates of all 16 atoms:
Pm  0.940  0.333  0.000
Nd  0.439  0.333  0.000
Pm  0.690  0.499  0.251
La  0.189  0.168  0.500
Nd  0.939  0.667  0.500
Pm  0.190  0.501  0.751
Pm  0.189  0.833  0.000
La  0.439  0.000  0.250
Pm  0.690  0.499  0.749
Pm  0.689  0.167  0.500
La  0.439  0.000  0.750
La  0.939  0.000  0.750
Pm  0.190  0.501  0.249
Pm  0.440  0.667  0.500
La  0.689  0.832  0.000
La  0.939  0.000  0.250

***

6.
Crystalline HoMgMnAg at its relaxed geometry, computed with PBE-GGA.

Calculated values
The value obtained for the energy of formation is 0.2 eV per formula unit. The density comes out at 7013 kg/m³. The calculation puts the density of states at the Fermi level at 3.9 states/eV/f.u. The calculation puts the final energy at -18.0 eV/f.u. The calculation puts the total magnetization at 4.12 μB per cell.

Cell lengths 4.903, 4.903, 4.903 Å; angles 60.00, 60.00, 60.00 degrees
Fractional coordinates of all 4 atoms:
Ag  0.250  0.250  0.250
Mg  0.500  0.500  0.500
Ho  0.000  0.000  0.000
Mn  0.750  0.750  0.750

***

7.
Crystalline Ac4NiHg at its relaxed geometry, computed with PBE-GGA.

Calculated values
The excess energy over the best structure of this formula in the dataset is 74 meV per atom. The value obtained for the energy of formation is -0.9 eV per formula unit. The density comes out at 8804 kg/m³. The calculation puts the density of states at the Fermi level at 7.8 states/eV/f.u. The calculation puts the final energy at -23.4 eV/f.u. The calculation puts the total magnetization at 0.00 μB per cell.

Cell lengths 4.264, 6.298, 8.211 Å; angles 93.02, 90.03, 90.04 degrees
Fractional coordinates of all 6 atoms:
Hg  0.501  0.589  0.964
Ac  0.501  0.872  0.334
Ac  0.501  0.067  0.800
Ni  0.001  0.069  0.543
Ac  0.001  0.546  0.645
Ac  0.002  0.340  0.203

***

8.
Crystalline ZnInPb2 at its relaxed geometry, computed with PBE-GGA.

Calculated values
The value obtained for the energy of formation is 0.4 eV per formula unit. The density comes out at 9115 kg/m³. The calculation puts the density of states at the Fermi level at 2.1 states/eV/f.u. The calculation puts the final energy at -11.0 eV/f.u. The calculation puts the total magnetization at 0.00 μB per cell.

Cell lengths 4.437, 3.464, 7.177 Å; angles 79.11, 90.00, 90.00 degrees
Fractional coordinates of all 4 atoms:
Pb  0.000  0.881  0.982
Zn  0.000  0.836  0.507
In  0.500  0.464  0.725
Pb  0.500  0.319  0.286